[1]
A geometry-optimized PrIn12Ni6 structure, computed with PBE.

## Properties
SG = No. 166

```
data_PrIn12Ni6
_space_group_name_H-M_alt 'P 1'
_space_group_IT_number 1
_cell_length_a 7.6564
_cell_length_b 7.6564
_cell_length_c 7.6564
_cell_angle_alpha 105.04
_cell_angle_beta 105.04
_cell_angle_gamma 105.04
loop_
_space_group_symop_operation_xyz
'x,y,z'
loop_
_atom_site_label
_atom_site_type_symbol
_atom_site_fract_x
_atom_site_fract_y
_atom_site_fract_z
_atom_site_occupancy
In1 In 0.8802 0.1198 0.5000 1
In2 In 0.1198 0.8802 0.5000 1
In3 In 0.8802 0.5000 0.1198 1
In4 In 0.4189 0.1612 0.4189 1
In5 In 0.5000 0.1198 0.8802 1
In6 In 0.1198 0.5000 0.8802 1
In7 In 0.5811 0.8388 0.5811 1
In8 In 0.4189 0.4189 0.1612 1
In9 In 0.5811 0.5811 0.8388 1
In10 In 0.5000 0.8802 0.1198 1
In11 In 0.1612 0.4189 0.4189 1
In12 In 0.8388 0.5811 0.5811 1
Ni1 Ni 0.7302 0.7302 0.3018 1
Ni2 Ni 0.6982 0.2698 0.2698 1
Ni3 Ni 0.3018 0.7302 0.7302 1
Ni4 Ni 0.7302 0.3018 0.7302 1
Ni5 Ni 0.2698 0.6982 0.2698 1
Ni6 Ni 0.2698 0.2698 0.6982 1
Pr1 Pr 0.0000 0.0000 0.0000 1
```

---

[2]
A geometry-optimized Pr4InNi structure, computed with PBE.

## Properties
SG = No. 12
Polymorph energy (0 for the lowest one) = 0.26 eV per formula unit

```
data_Pr4InNi
_space_group_name_H-M_alt 'P 1'
_space_group_IT_number 1
_cell_length_a 6.2221
_cell_length_b 7.2460
_cell_length_c 9.2945
_cell_angle_alpha 112.94
_cell_angle_beta 109.59
_cell_angle_gamma 90.00
loop_
_space_group_symop_operation_xyz
'x,y,z'
loop_
_atom_site_label
_atom_site_type_symbol
_atom_site_fract_x
_atom_site_fract_y
_atom_site_fract_z
_atom_site_occupancy
Ni1 Ni 0.3040 0.5005 0.0011 1
Ni2 Ni 0.6960 0.4995 0.9989 1
Pr1 Pr 0.8090 0.3099 0.6197 1
Pr2 Pr 0.6204 0.3680 0.2397 1
Pr3 Pr 0.0000 0.2323 0.0000 1
Pr4 Pr 0.3796 0.1283 0.7603 1
Pr5 Pr 0.0000 0.7677 0.0000 1
Pr6 Pr 0.1910 0.6901 0.3803 1
Pr7 Pr 0.6204 0.8717 0.2397 1
Pr8 Pr 0.3796 0.6320 0.7603 1
In1 In 0.1945 0.1944 0.3889 1
In2 In 0.8055 0.8056 0.6111 1
```

---

[3]
A geometry-optimized Pr8In2Ni structure, computed with PBE.

## Properties
SG = No. 8
Polymorph energy (0 for the lowest one) = 0.00 eV per formula unit

```
data_Pr8In2Ni
_space_group_name_H-M_alt 'P 1'
_space_group_IT_number 1
_cell_length_a 5.7262
_cell_length_b 9.6054
_cell_length_c 9.6054
_cell_angle_alpha 122.02
_cell_angle_beta 108.10
_cell_angle_gamma 108.10
loop_
_space_group_symop_operation_xyz
'x,y,z'
loop_
_atom_site_label
_atom_site_type_symbol
_atom_site_fract_x
_atom_site_fract_y
_atom_site_fract_z
_atom_site_occupancy
Pr1 Pr 0.0055 0.8252 0.2285 1
Pr2 Pr 0.9708 0.1079 0.1079 1
Pr3 Pr 0.2772 0.9085 0.6681 1
Pr4 Pr 0.7493 0.1847 0.4165 1
Pr5 Pr 0.0055 0.2285 0.8252 1
Pr6 Pr 0.2772 0.6681 0.9085 1
Pr7 Pr 0.7493 0.4165 0.1847 1
Pr8 Pr 0.6214 0.6206 0.6206 1
In1 In 0.5004 0.3309 0.7238 1
In2 In 0.5004 0.7238 0.3309 1
Ni1 Ni 0.3429 0.0193 0.0193 1
```

---

[4]
A geometry-optimized PrIn3Ni3 structure, computed with PBE.

## Properties
SG = No. 223

```
data_PrIn3Ni3
_space_group_name_H-M_alt 'P 1'
_space_group_IT_number 1
_cell_length_a 6.9299
_cell_length_b 6.9299
_cell_length_c 6.9299
_cell_angle_alpha 90.00
_cell_angle_beta 90.00
_cell_angle_gamma 90.00
loop_
_space_group_symop_operation_xyz
'x,y,z'
loop_
_atom_site_label
_atom_site_type_symbol
_atom_site_fract_x
_atom_site_fract_y
_atom_site_fract_z
_atom_site_occupancy
In1 In 0.0000 0.5000 0.2500 1
In2 In 0.7500 0.0000 0.5000 1
In3 In 0.5000 0.7500 0.0000 1
In4 In 0.2500 0.0000 0.5000 1
In5 In 0.5000 0.2500 0.0000 1
In6 In 0.0000 0.5000 0.7500 1
Ni1 Ni 0.5000 0.0000 0.2500 1
Ni2 Ni 0.2500 0.5000 0.0000 1
Ni3 Ni 0.0000 0.7500 0.5000 1
Ni4 Ni 0.0000 0.2500 0.5000 1
Ni5 Ni 0.5000 0.0000 0.7500 1
Ni6 Ni 0.7500 0.5000 0.0000 1
Pr1 Pr 0.0000 0.0000 0.0000 1
Pr2 Pr 0.5000 0.5000 0.5000 1
```

---

[5]
A geometry-optimized PrIn12Ni4 structure, computed with PBE.

## Properties
SG = No. 204

```
data_PrIn12Ni4
_space_group_name_H-M_alt 'P 1'
_space_group_IT_number 1
_cell_length_a 8.1527
_cell_length_b 8.1527
_cell_length_c 8.1527
_cell_angle_alpha 109.47
_cell_angle_beta 109.47
_cell_angle_gamma 109.47
loop_
_space_group_symop_operation_xyz
'x,y,z'
loop_
_atom_site_label
_atom_site_type_symbol
_atom_site_fract_x
_atom_site_fract_y
_atom_site_fract_z
_atom_site_occupancy
Ni1 Ni 0.5000 0.0000 0.0000 1
Ni2 Ni 0.5000 0.5000 0.5000 1
Ni3 Ni 0.0000 0.5000 0.0000 1
Ni4 Ni 0.0000 0.0000 0.5000 1
In1 In 0.3259 0.5056 0.1797 1
In2 In 0.1797 0.6741 0.8539 1
In3 In 0.4944 0.8203 0.6741 1
In4 In 0.5056 0.1797 0.3259 1
In5 In 0.6741 0.8539 0.1797 1
In6 In 0.3259 0.1461 0.8203 1
In7 In 0.1797 0.3259 0.5056 1
In8 In 0.8539 0.1797 0.6741 1
In9 In 0.8203 0.3259 0.1461 1
In10 In 0.8203 0.6741 0.4944 1
In11 In 0.1461 0.8203 0.3259 1
In12 In 0.6741 0.4944 0.8203 1
Pr1 Pr 0.0000 0.0000 0.0000 1
```

---

[6]
A geometry-optimized PrIn3Ni2 structure, computed with PBE.

## Properties
SG = No. 12

```
data_PrIn3Ni2
_space_group_name_H-M_alt 'P 1'
_space_group_IT_number 1
_cell_length_a 4.3764
_cell_length_b 8.9163
_cell_length_c 10.6161
_cell_angle_alpha 108.93
_cell_angle_beta 90.00
_cell_angle_gamma 104.21
loop_
_space_group_symop_operation_xyz
'x,y,z'
loop_
_atom_site_label
_atom_site_type_symbol
_atom_site_fract_x
_atom_site_fract_y
_atom_site_fract_z
_atom_site_occupancy
In1 In 0.6709 0.3417 0.9530 1
In2 In 0.5000 0.0000 0.5000 1
In3 In 0.0430 0.0860 0.3418 1
In4 In 0.9570 0.9140 0.6582 1
In5 In 0.3719 0.7437 0.8064 1
In6 In 0.7781 0.5562 0.6103 1
In7 In 0.2219 0.4438 0.3897 1
In8 In 0.3291 0.6583 0.0470 1
In9 In 0.6281 0.2563 0.1936 1
Ni1 Ni 0.2000 0.4000 0.1262 1
Ni2 Ni 0.6331 0.2662 0.4407 1
Ni3 Ni 0.3669 0.7338 0.5593 1
Ni4 Ni 0.5207 0.0415 0.7766 1
Ni5 Ni 0.8000 0.6000 0.8738 1
Ni6 Ni 0.4793 0.9585 0.2234 1
Pr1 Pr 0.1570 0.3141 0.7019 1
Pr2 Pr 0.0000 0.0000 0.0000 1
Pr3 Pr 0.8430 0.6859 0.2981 1
```

---

[7]
A geometry-optimized PrIn12Ni5 structure, computed with PBE.

## Properties
SG = No. 71

```
data_PrIn12Ni5
_space_group_name_H-M_alt 'P 1'
_space_group_IT_number 1
_cell_length_a 7.9488
_cell_length_b 7.9488
_cell_length_c 7.9488
_cell_angle_alpha 98.71
_cell_angle_beta 112.10
_cell_angle_gamma 118.19
loop_
_space_group_symop_operation_xyz
'x,y,z'
loop_
_atom_site_label
_atom_site_type_symbol
_atom_site_fract_x
_atom_site_fract_y
_atom_site_fract_z
_atom_site_occupancy
In1 In 0.9038 0.1763 0.7275 1
In2 In 0.6859 0.6689 0.3548 1
In3 In 0.3141 0.6689 0.9830 1
In4 In 0.8101 0.0421 0.2320 1
In5 In 0.1899 0.9579 0.7680 1
In6 In 0.8101 0.5780 0.7680 1
In7 In 0.4487 0.1763 0.2725 1
In8 In 0.0962 0.8237 0.2725 1
In9 In 0.3141 0.3311 0.6452 1
In10 In 0.1899 0.4220 0.2320 1
In11 In 0.5513 0.8237 0.7275 1
In12 In 0.6859 0.3311 0.0170 1
Pr1 Pr 0.0000 0.5000 0.5000 1
Ni1 Ni 0.5000 0.8754 0.3754 1
Ni2 Ni 0.3255 0.3255 0.0000 1
Ni3 Ni 0.5000 0.1246 0.6246 1
Ni4 Ni 0.6745 0.6745 0.0000 1
Ni5 Ni 0.0000 0.0000 0.0000 1
```

---

[8]
A geometry-optimized Pr3InNi8 structure, computed with PBE.

## Properties
SG = No. 160

```
data_Pr3InNi8
_space_group_name_H-M_alt 'P 1'
_space_group_IT_number 1
_cell_length_a 5.1311
_cell_length_b 5.1311
_cell_length_c 8.9351
_cell_angle_alpha 73.31
_cell_angle_beta 73.31
_cell_angle_gamma 60.00
loop_
_space_group_symop_operation_xyz
'x,y,z'
loop_
_atom_site_label
_atom_site_type_symbol
_atom_site_fract_x
_atom_site_fract_y
_atom_site_fract_z
_atom_site_occupancy
Ni1 Ni 0.9383 0.4355 0.1907 1
Ni2 Ni 0.9377 0.4414 0.6831 1
Ni3 Ni 0.4355 0.9383 0.1907 1
Ni4 Ni 0.1881 0.1881 0.4357 1
Ni5 Ni 0.6879 0.6879 0.9362 1
Ni6 Ni 0.9377 0.9377 0.6831 1
Ni7 Ni 0.4355 0.4355 0.1907 1
Ni8 Ni 0.4414 0.9377 0.6831 1
Pr1 Pr 0.3766 0.3766 0.8701 1
Pr2 Pr 0.5038 0.5038 0.4886 1
Pr3 Pr 0.9950 0.9950 0.0149 1
In1 In 0.8723 0.8723 0.3830 1
```

---

[9]
A geometry-optimized PrInNi structure, computed with PBE.

## Properties
SG = No. 11

```
data_PrInNi
_space_group_name_H-M_alt 'P 1'
_space_group_IT_number 1
_cell_length_a 4.2704
_cell_length_b 6.3032
_cell_length_c 5.2726
_cell_angle_alpha 101.37
_cell_angle_beta 90.00
_cell_angle_gamma 90.00
loop_
_space_group_symop_operation_xyz
'x,y,z'
loop_
_atom_site_label
_atom_site_type_symbol
_atom_site_fract_x
_atom_site_fract_y
_atom_site_fract_z
_atom_site_occupancy
Ni1 Ni 0.2500 0.4650 0.6178 1
Ni2 Ni 0.7500 0.5350 0.3822 1
In1 In 0.2500 0.8204 0.4123 1
In2 In 0.7500 0.1796 0.5877 1
Pr1 Pr 0.7500 0.7364 0.9117 1
Pr2 Pr 0.2500 0.2636 0.0883 1
```

---

[10]
A geometry-optimized Pr2InNi2 structure, computed with PBE.

## Properties
SG = No. 127

```
data_Pr2InNi2
_space_group_name_H-M_alt 'P 1'
_space_group_IT_number 1
_cell_length_a 3.8622
_cell_length_b 7.5962
_cell_length_c 7.5962
_cell_angle_alpha 90.00
_cell_angle_beta 90.00
_cell_angle_gamma 90.00
loop_
_space_group_symop_operation_xyz
'x,y,z'
loop_
_atom_site_label
_atom_site_type_symbol
_atom_site_fract_x
_atom_site_fract_y
_atom_site_fract_z
_atom_site_occupancy
Pr1 Pr 0.5000 0.6774 0.8226 1
Pr2 Pr 0.5000 0.8226 0.3226 1
Pr3 Pr 0.5000 0.3226 0.1774 1
Pr4 Pr 0.5000 0.1774 0.6774 1
Ni1 Ni 0.0000 0.6166 0.1166 1
Ni2 Ni 0.0000 0.3834 0.8834 1
Ni3 Ni 0.0000 0.1166 0.3834 1
Ni4 Ni 0.0000 0.8834 0.6166 1
In1 In 0.0000 0.5000 0.5000 1
In2 In 0.0000 0.0000 0.0000 1
```

---

[11]
A geometry-optimized Pr4InNi structure, computed with PBE.

## Properties
SG = No. 216
Polymorph energy (0 for the lowest one) = 0.00 eV per formula unit

```
data_Pr4InNi
_space_group_name_H-M_alt 'P 1'
_space_group_IT_number 1
_cell_length_a 9.9828
_cell_length_b 9.9828
_cell_length_c 9.9828
_cell_angle_alpha 60.00
_cell_angle_beta 60.00
_cell_angle_gamma 60.00
loop_
_space_group_symop_operation_xyz
'x,y,z'
loop_
_atom_site_label
_atom_site_type_symbol
_atom_site_fract_x
_atom_site_fract_y
_atom_site_fract_z
_atom_site_occupancy
Pr1 Pr 0.9424 0.9424 0.5576 1
Pr2 Pr 0.5576 0.9424 0.9424 1
Pr3 Pr 0.5576 0.5576 0.9424 1
Pr4 Pr 0.8131 0.8131 0.1869 1
Pr5 Pr 0.9424 0.5576 0.9424 1
Pr6 Pr 0.8131 0.1869 0.1869 1
Pr7 Pr 0.7932 0.4023 0.4023 1
Pr8 Pr 0.4023 0.4023 0.4023 1
Pr9 Pr 0.4023 0.4023 0.7932 1
Pr10 Pr 0.4023 0.7932 0.4023 1
Pr11 Pr 0.1869 0.1869 0.8131 1
Pr12 Pr 0.1869 0.8131 0.1869 1
Pr13 Pr 0.5576 0.9424 0.5576 1
Pr14 Pr 0.1869 0.8131 0.8131 1
Pr15 Pr 0.9424 0.5576 0.5576 1
Pr16 Pr 0.8131 0.1869 0.8131 1
Ni1 Ni 0.6076 0.1771 0.6076 1
Ni2 Ni 0.1771 0.6076 0.6076 1
Ni3 Ni 0.6076 0.6076 0.6076 1
Ni4 Ni 0.6076 0.6076 0.1771 1
In1 In 0.4894 0.1702 0.1702 1
In2 In 0.1702 0.4894 0.1702 1
In3 In 0.1702 0.1702 0.4894 1
In4 In 0.1702 0.1702 0.1702 1
```

---

[12]
A geometry-optimized PrIn2Ni structure, computed with PBE.

## Properties
SG = No. 123

```
data_PrIn2Ni
_space_group_name_H-M_alt 'P 1'
_space_group_IT_number 1
_cell_length_a 3.3596
_cell_length_b 3.3596
_cell_length_c 7.7879
_cell_angle_alpha 90.00
_cell_angle_beta 90.00
_cell_angle_gamma 90.00
loop_
_space_group_symop_operation_xyz
'x,y,z'
loop_
_atom_site_label
_atom_site_type_symbol
_atom_site_fract_x
_atom_site_fract_y
_atom_site_fract_z
_atom_site_occupancy
Pr1 Pr 0.5000 0.5000 0.5000 1
In1 In 0.0000 0.0000 0.1910 1
In2 In 0.0000 0.0000 0.8090 1
Ni1 Ni 0.5000 0.5000 0.0000 1
```

---

E_tot? In order: -3.87, -4.84, -4.71, -4.12, -3.62, -4.37, -3.81, -5.56, -4.80, -5.18, -4.89, -4.26 eV/atom.
Energy of formation from the pure elements? In order: -0.0675, -0.2369, -0.2081, 0.2142, -0.0476, -0.2798, -0.1146, -0.2859, -0.3676, -0.4111, -0.2801, -0.2471 eV per atom.